[1]
Below is Ac4SnHPt2 after structural relaxation, with properties calculated at the PBE-GGA level.

```
data_Ac4SnHPt2
_chemical_formula_sum 'Ac16 Sn4 H4 Pt8'
_cell_length_a 4.5656
_cell_length_b 14.1328
_cell_length_c 15.2708
_cell_angle_alpha 90.00
_cell_angle_beta 90.00
_cell_angle_gamma 90.00
_symmetry_space_group_name_H-M 'C m c m'
_symmetry_Int_Tables_number 63
_symmetry_space_group_name_Hall '-C 2c 2'
loop_
_atom_site_label
_atom_site_type_symbol
_atom_site_fract_x
_atom_site_fract_y
_atom_site_fract_z
Ac1 Ac 0.0000 0.0000 0.0000
Ac2 Ac 0.0000 0.2712 0.1170
Ac3 Ac 0.0000 0.4296 0.7500
Sn1 Sn 0.0000 0.1124 0.7500
H1 H 0.0000 0.1590 0.2500
Pt1 Pt 0.0000 0.3678 0.5602
```


[2]
Below is SrAcH6Pt2 after structural relaxation, with properties calculated at the PBE-GGA level.

```
data_SrAcH6Pt2
_chemical_formula_sum 'Sr4 Ac4 H24 Pt8'
_cell_length_a 8.6707
_cell_length_b 9.5318
_cell_length_c 8.0469
_cell_angle_alpha 90.00
_cell_angle_beta 121.55
_cell_angle_gamma 90.00
_symmetry_space_group_name_H-M 'C 1 2/c 1'
_symmetry_Int_Tables_number 15
loop_
_symmetry_equiv_pos_as_xyz
'x,y,z'
'-x,-y,-z'
'-x,y,-z+1/2'
'x,-y,z+1/2'
'x+1/2,y+1/2,z'
'-x+1/2,-y+1/2,-z'
'-x+1/2,y+1/2,-z+1/2'
'x+1/2,-y+1/2,z+1/2'
loop_
_atom_site_label
_atom_site_type_symbol
_atom_site_fract_x
_atom_site_fract_y
_atom_site_fract_z
Sr1 Sr 0.0000 0.1271 0.2500
Ac1 Ac 0.0000 0.3655 0.7500
H1 H 0.1617 0.4854 0.5777
H2 H 0.1646 0.2406 0.0978
H3 H 0.1667 0.0045 0.0865
Pt1 Pt 0.2420 0.3815 0.2443
```


[3]
Below is SrAcH8Pt2 after structural relaxation, with properties calculated at the PBE-GGA level.

```
data_SrAcH8Pt2
_chemical_formula_sum 'Sr3 Ac3 H24 Pt6'
_cell_length_a 4.9533
_cell_length_b 4.9533
_cell_length_c 20.7350
_cell_angle_alpha 90.00
_cell_angle_beta 90.00
_cell_angle_gamma 120.00
_symmetry_space_group_name_H-M 'R -3 m'
_symmetry_Int_Tables_number 166
_symmetry_space_group_name_Hall '-R 3 2"'
loop_
_atom_site_label
_atom_site_type_symbol
_atom_site_fract_x
_atom_site_fract_y
_atom_site_fract_z
Sr1 Sr 0.0000 0.0000 0.0000
Ac1 Ac 0.0000 0.0000 0.5000
H1 H 0.0000 0.0000 0.1568
H2 H 0.0141 0.5071 0.0551
Pt1 Pt 0.0000 0.0000 0.2390
```


[4]
Below is Ac3TlHPt after structural relaxation, with properties calculated at the PBE-GGA level.

```
data_Ac3TlHPt
_chemical_formula_sum 'Ac6 Tl2 H2 Pt2'
_cell_length_a 9.4099
_cell_length_b 4.3421
_cell_length_c 9.8294
_cell_angle_alpha 90.00
_cell_angle_beta 102.52
_cell_angle_gamma 90.00
_symmetry_space_group_name_H-M 'P 1 21/m 1'
_symmetry_Int_Tables_number 11
loop_
_symmetry_equiv_pos_as_xyz
'x,y,z'
'-x,-y,-z'
'-x,y+1/2,-z'
'x,-y+1/2,z'
loop_
_atom_site_label
_atom_site_type_symbol
_atom_site_fract_x
_atom_site_fract_y
_atom_site_fract_z
Ac1 Ac 0.0612 0.2500 0.3340
Ac2 Ac 0.3127 0.2500 0.9705
Ac3 Ac 0.3813 0.7500 0.6381
Tl1 Tl 0.3265 0.7500 0.2500
H1 H 0.4237 0.7500 0.9100
Pt1 Pt 0.1617 0.2500 0.6553
```


[5]
Below is Ac5Tl2HPt after structural relaxation, with properties calculated at the PBE-GGA level.

```
data_Ac5Tl2HPt
_chemical_formula_sum 'Ac20 Tl8 H4 Pt4'
_cell_length_a 4.3554
_cell_length_b 19.8045
_cell_length_c 14.4732
_cell_angle_alpha 90.00
_cell_angle_beta 90.00
_cell_angle_gamma 90.00
_symmetry_space_group_name_H-M 'C m c 21'
_symmetry_Int_Tables_number 36
loop_
_symmetry_equiv_pos_as_xyz
'x,y,z'
'-x,-y,z+1/2'
'-x,y,z'
'x,-y,z+1/2'
'x+1/2,y+1/2,z'
'-x+1/2,-y+1/2,z+1/2'
'-x+1/2,y+1/2,z'
'x+1/2,-y+1/2,z+1/2'
loop_
_atom_site_label
_atom_site_type_symbol
_atom_site_fract_x
_atom_site_fract_y
_atom_site_fract_z
Ac1 Ac 0.0000 0.0005 0.0000
Ac2 Ac 0.0000 0.1512 0.2621
Ac3 Ac 0.0000 0.1894 0.6206
Ac4 Ac 0.0000 0.1928 0.9086
Ac5 Ac 0.0000 0.4634 0.2405
Tl1 Tl 0.0000 0.3741 0.9473
Tl2 Tl 0.0000 0.3757 0.5796
H1 H 0.0000 0.0606 0.6510
Pt1 Pt 0.0000 0.3059 0.2643
```


[6]
Below is Ac2TlHPt6 after structural relaxation, with properties calculated at the PBE-GGA level.

```
data_Ac2TlHPt6
_chemical_formula_sum 'Ac6 Tl3 H3 Pt18'
_cell_length_a 5.9026
_cell_length_b 5.9026
_cell_length_c 19.8422
_cell_angle_alpha 90.00
_cell_angle_beta 90.00
_cell_angle_gamma 120.00
_symmetry_space_group_name_H-M 'R -3 m'
_symmetry_Int_Tables_number 166
_symmetry_space_group_name_Hall '-R 3 2"'
loop_
_atom_site_label
_atom_site_type_symbol
_atom_site_fract_x
_atom_site_fract_y
_atom_site_fract_z
Ac1 Ac 0.0000 0.0000 0.2298
Tl1 Tl 0.0000 0.0000 0.5000
H1 H 0.0000 0.0000 0.0000
Pt1 Pt 0.0023 0.5012 0.2765
```


V, record by record: 985 567 441 392 1248 599 Å³/cell
Uncorrected energy, record by record: -0.3934 -0.3165 -0.2959 -0.3414 -0.3193 -0.4129 Ry/atom